No. 1
Nd7Pd2Ru2: optimized geometry, GGA-PBE.

Cell and atoms, written as POSCAR:
```
Nd7Pd2Ru2
1.0
-2.420 -3.492 5.392
6.565 -1.696 1.850
1.125 6.486 1.944
Nd Pd Ru
7 2 2
Direct
0.000 0.735 0.500
0.000 0.000 0.000
0.500 0.746 0.500
0.500 0.265 0.000
0.500 0.254 0.500
0.000 0.265 0.500
0.500 0.735 0.000
0.182 0.500 0.182
0.818 0.500 0.818
0.707 0.000 0.293
0.293 0.000 0.707
```

Calculated values
**Energy**: -5.92 eV/atom
**DFT formation energy**: -0.251 eV/atom
**Density of states at the Fermi level**: 6.368 states/eV/cell

No. 2
PmTm2Sc: optimized geometry, GGA-PBE.

Cell and atoms, written as POSCAR:
```
PmTm2Sc
1.0
-4.921 -0.141 2.531
-0.269 -0.575 5.499
-1.614 4.254 3.152
Sc Tm Pm
1 2 1
Direct
0.500 0.500 0.500
0.750 0.750 0.750
0.250 0.250 0.250
0.000 0.000 0.000
```

Calculated values
**Energy**: -4.86 eV/atom
**Energy above the most stable polymorph in this dataset**: 0.125 eV/atom
**DFT formation energy**: 0.147 eV/atom
**Density of states at the Fermi level**: 8.853 states/eV/cell

No. 3
CsHfS3: optimized geometry, GGA-PBE.

Cell and atoms, written as POSCAR:
```
CsHfS3
1.0
-0.168 -2.695 -3.736
-0.453 -1.850 4.198
-16.366 2.151 -0.817
Hf S Cs
2 6 2
Direct
0.000 0.000 0.500
0.000 0.000 0.000
0.333 0.667 0.546
0.000 0.000 0.750
0.333 0.667 0.954
0.667 0.333 0.454
0.000 0.000 0.250
0.667 0.333 0.046
0.333 0.667 0.750
0.667 0.333 0.250
```

Calculated values
**Energy**: -4.87 eV/atom
**Energy above the most stable polymorph in this dataset**: 1.163 eV/atom
**Density of states at the Fermi level**: 1.963 states/eV/cell
**Formation energy from raw total energies**: -0.234 eV per atom

No. 4
GaH2I: optimized geometry, GGA-PBE.

Cell and atoms, written as POSCAR:
```
GaH2I
1.0
5.629 0.000 0.000
-2.815 4.838 0.000
0.000 0.000 9.329
H I Ga
4 2 2
Direct
0.334 0.667 0.210
0.334 0.667 0.290
0.666 0.333 0.710
0.666 0.333 0.790
0.999 0.999 0.250
0.001 0.001 0.750
0.667 0.334 0.250
0.333 0.666 0.750
```

Calculated values
**Energy**: -2.84 eV/atom
**Energy above the most stable polymorph in this dataset**: 0.065 eV/atom
**Density of states at the Fermi level**: 0.000 states/eV/cell

No. 5
Dy4Tm2ThSc: optimized geometry, GGA-PBE.

Cell and atoms, written as POSCAR:
```
Dy4Tm2ThSc
1.0
4.953 0.000 0.000
0.000 4.725 1.418
0.000 1.871 10.924
Dy Th Tm Sc
4 1 2 1
Direct
0.000 0.746 0.753
0.000 0.254 0.247
0.500 0.247 0.753
0.500 0.753 0.247
0.000 0.500 0.500
0.000 0.000 0.000
0.500 0.000 0.500
0.500 0.500 0.000
```

Calculated values
**Energy**: -5.10 eV/atom
**DFT formation energy**: 0.043 eV/atom
**Density of states at the Fermi level**: 12.762 states/eV/cell

No. 6
Nd2Ni15Pt2: optimized geometry, GGA-PBE.

Cell and atoms, written as POSCAR:
```
Nd2Ni15Pt2
1.0
6.386 -0.030 -0.027
0.799 6.336 -0.027
0.799 0.701 6.297
Nd Ni Pt
2 15 2
Direct
0.655 0.655 0.655
0.345 0.345 0.345
0.654 0.654 0.157
0.346 0.346 0.843
0.000 0.707 0.293
0.500 0.000 0.000
0.000 0.293 0.707
0.000 0.000 0.500
0.654 0.157 0.654
0.707 0.293 0.000
0.293 0.000 0.707
0.707 0.000 0.293
0.000 0.500 0.000
0.293 0.707 0.000
0.157 0.654 0.654
0.843 0.346 0.346
0.346 0.843 0.346
0.108 0.108 0.108
0.892 0.892 0.892
```

Calculated values
**Energy**: -5.91 eV/atom
**DFT formation energy**: -0.211 eV/atom
**Density of states at the Fermi level**: 25.121 states/eV/cell

No. 7
LaTb12Ho6: optimized geometry, GGA-PBE.

Cell and atoms, written as POSCAR:
```
LaTb12Ho6
1.0
-6.664 -3.519 -4.019
-4.402 -0.517 7.301
-3.518 7.668 -1.330
La Ho Tb
1 6 12
Direct
0.000 0.000 0.000
0.258 0.094 0.689
0.311 0.742 0.906
0.094 0.689 0.258
0.689 0.258 0.094
0.742 0.906 0.311
0.906 0.311 0.742
0.357 0.011 0.207
0.207 0.357 0.011
0.434 0.775 0.543
0.643 0.989 0.793
0.566 0.225 0.457
0.225 0.457 0.566
0.011 0.207 0.357
0.775 0.543 0.434
0.989 0.793 0.643
0.793 0.643 0.989
0.457 0.566 0.225
0.543 0.434 0.775
```

Calculated values
**Energy**: -4.48 eV/atom
**Energy above the most stable polymorph in this dataset**: 0.000 eV/atom
**DFT formation energy**: 0.151 eV/atom
**Density of states at the Fermi level**: 33.414 states/eV/cell

No. 8
KAs2IrRh: optimized geometry, GGA-PBE.

Cell and atoms, written as POSCAR:
```
KAs2IrRh
1.0
4.053 0.000 0.000
0.000 4.053 0.000
-2.026 -2.026 6.739
As Ir K Rh
2 1 1 1
Direct
0.646 0.646 0.293
0.354 0.354 0.707
0.750 0.250 0.500
0.000 0.000 0.000
0.250 0.750 0.500
```

Calculated values
**Energy**: -5.87 eV/atom
**DFT formation energy**: -0.547 eV/atom
**Density of states at the Fermi level**: 1.160 states/eV/cell

No. 9
CsSmSiO4: optimized geometry, GGA-PBE.

Cell and atoms, written as POSCAR:
```
CsSmSiO4
1.0
-2.881 -4.017 -2.942
4.928 -1.581 -2.668
2.631 -3.393 6.871
Cs Si O Sm
2 2 8 2
Direct
0.700 0.750 0.929
0.300 0.250 0.071
0.239 0.750 0.350
0.761 0.250 0.650
0.411 0.750 0.222
0.950 0.472 0.670
0.050 0.528 0.330
0.573 0.250 0.450
0.950 0.028 0.670
0.427 0.750 0.550
0.050 0.972 0.330
0.589 0.250 0.778
0.779 0.750 0.458
0.221 0.250 0.542
```

Calculated values
**Energy**: -7.26 eV/atom
**Density of states at the Fermi level**: 0.000 states/eV/cell
**Formation energy from raw total energies**: -2.859 eV per atom

No. 10
NaLi2TbAs2: optimized geometry, GGA-PBE.

Cell and atoms, written as POSCAR:
```
NaLi2TbAs2
1.0
-2.883 3.223 0.286
0.708 -1.943 -3.808
-5.157 -4.741 1.461
As Li Na Tb
2 2 1 1
Direct
0.333 0.667 0.237
0.667 0.333 0.763
0.667 0.333 0.321
0.333 0.667 0.679
0.000 0.000 0.500
0.000 0.000 0.000
```

Calculated values
**Energy**: -4.09 eV/atom
**DFT formation energy**: -0.912 eV/atom
**Density of states at the Fermi level**: 0.005 states/eV/cell